1.
# VCrNi, optimized geometry, DFT GGA-PBE
# Calculated total energy: -8.037 eV/atom
# Calculated formation energy: 0.1376 eV per atom
# Size of the total moment: 0.0 μB/cell
# Density of states at the Fermi level: 15.04 states/eV per cell
data_VCrNi
_chemical_formula_sum 'V4 Cr4 Ni4'
_space_group_name_H-M_alt 'C 1 2/m 1'
_space_group_IT_number 12
_cell_length_a 4.9790
_cell_length_b 4.8444
_cell_length_c 6.1592
_cell_angle_alpha 90.00
_cell_angle_beta 99.86
_cell_angle_gamma 90.00
loop_
_space_group_symop_operation_xyz
'x,y,z'
'-x,-y,-z'
'-x,y,-z'
'x,-y,z'
'x+1/2,y+1/2,z'
'-x+1/2,-y+1/2,-z'
'-x+1/2,y+1/2,-z'
'x+1/2,-y+1/2,z'
loop_
_atom_site_label
_atom_site_fract_x
_atom_site_fract_y
_atom_site_fract_z
V1 0.1040 0.0000 0.3345
Cr1 0.2500 0.2500 0.0000
Ni1 0.0824 0.5000 0.3165

2.
# VCrNi, optimized geometry, DFT GGA-PBE
# Calculated total energy: -8.195 eV/atom
# Calculated formation energy: -0.0202 eV per atom
# Size of the total moment: 0.0 μB/cell
# Density of states at the Fermi level: 13.56 states/eV per cell
data_VCrNi
_chemical_formula_sum 'V4 Cr4 Ni4'
_space_group_name_H-M_alt 'C 1 2/m 1'
_space_group_IT_number 12
_cell_length_a 8.6267
_cell_length_b 3.9397
_cell_length_c 5.0777
_cell_angle_alpha 90.00
_cell_angle_beta 124.25
_cell_angle_gamma 90.00
loop_
_space_group_symop_operation_xyz
'x,y,z'
'-x,-y,-z'
'-x,y,-z'
'x,-y,z'
'x+1/2,y+1/2,z'
'-x+1/2,-y+1/2,-z'
'-x+1/2,y+1/2,-z'
'x+1/2,-y+1/2,z'
loop_
_atom_site_label
_atom_site_fract_x
_atom_site_fract_y
_atom_site_fract_z
V1 0.0000 0.0000 0.0000
V2 0.0000 0.0000 0.5000
Cr1 0.1841 0.5000 0.3383
Ni1 0.1600 0.5000 0.8314

Repeat the first record exactly.
# VCrNi, optimized geometry, DFT GGA-PBE
# Calculated total energy: -8.037 eV/atom
# Calculated formation energy: 0.1376 eV per atom
# Size of the total moment: 0.0 μB/cell
# Density of states at the Fermi level: 15.04 states/eV per cell
data_VCrNi
_chemical_formula_sum 'V4 Cr4 Ni4'
_space_group_name_H-M_alt 'C 1 2/m 1'
_space_group_IT_number 12
_cell_length_a 4.9790
_cell_length_b 4.8444
_cell_length_c 6.1592
_cell_angle_alpha 90.00
_cell_angle_beta 99.86
_cell_angle_gamma 90.00
loop_
_space_group_symop_operation_xyz
'x,y,z'
'-x,-y,-z'
'-x,y,-z'
'x,-y,z'
'x+1/2,y+1/2,z'
'-x+1/2,-y+1/2,-z'
'-x+1/2,y+1/2,-z'
'x+1/2,-y+1/2,z'
loop_
_atom_site_label
_atom_site_fract_x
_atom_site_fract_y
_atom_site_fract_z
V1 0.1040 0.0000 0.3345
Cr1 0.2500 0.2500 0.0000
Ni1 0.0824 0.5000 0.3165

> Which formula does entry 2 have?

VCrNi

> Among the records above, which one has the lowest calculated total energy?

number 2